Pu2Al4GaPt3 after structural relaxation, computed with PBE.

The density of states at the Fermi level comes out at 2.741 states/eV per atom. The final energy is -7.260 eV per atom. The space-group type is P-4m2, No. 115. The formation energy is -0.78 eV/atom. Its magnetic moment is 11.04 μB/f.u.

```
Pu2Al4GaPt3
1.0
4.202 0.000 0.000
0.000 4.202 0.000
0.000 0.000 10.755
Pt Al Pu Ga
3 4 2 1
direct
0.000 0.500 0.133 Pt
0.500 0.000 0.867 Pt
0.000 0.000 0.500 Pt
0.000 0.500 0.363 Al
0.000 0.000 0.000 Al
0.500 0.000 0.637 Al
0.500 0.500 0.000 Al
0.500 0.000 0.250 Pu
0.000 0.500 0.750 Pu
0.500 0.500 0.500 Ga
```

---

Pu2Al3GaPt4 after structural relaxation, computed with PBE.

The density of states at the Fermi level comes out at 2.779 states/eV per atom. The final energy is -7.583 eV per atom. The space-group type is P-4m2, No. 115. The formation energy is -0.87 eV/atom. Its magnetic moment is 10.92 μB/f.u.

```
Pu2Al3GaPt4
1.0
4.165 0.000 0.000
0.000 4.165 0.000
0.000 0.000 10.835
Pt Pu Al Ga
4 2 3 1
direct
0.000 0.500 0.360 Pt
0.000 0.000 0.000 Pt
0.500 0.000 0.640 Pt
0.500 0.500 0.000 Pt
0.000 0.500 0.745 Pu
0.500 0.000 0.255 Pu
0.000 0.000 0.500 Al
0.000 0.500 0.131 Al
0.500 0.000 0.869 Al
0.500 0.500 0.500 Ga
```

---

PuAl2GaPt4 after structural relaxation, computed with PBE.

The density of states at the Fermi level comes out at 1.764 states/eV per atom. The final energy is -6.956 eV per atom. The space-group type is R-3m, No. 166. The formation energy is -0.83 eV/atom. Its magnetic moment is 5.10 μB/f.u.

```
PuAl2GaPt4
1.0
-0.492 3.781 -1.983
0.826 0.345 -4.203
-8.172 -0.643 -3.856
Ga Al Pt Pu
1 2 4 1
direct
0.500 0.500 0.500 Ga
0.757 0.757 0.728 Al
0.243 0.243 0.272 Al
0.402 0.402 0.795 Pt
0.598 0.598 0.205 Pt
0.866 0.866 0.403 Pt
0.134 0.134 0.597 Pt
0.000 0.000 0.000 Pu
```

---

PuAlGa2Pt4 after structural relaxation, computed with PBE.

The density of states at the Fermi level comes out at 1.743 states/eV per atom. The final energy is -6.821 eV per atom. The space-group type is R-3m, No. 166. The formation energy is -0.78 eV/atom. Its magnetic moment is 5.15 μB/f.u.

```
PuAlGa2Pt4
1.0
-0.171 3.222 -2.880
-3.441 2.618 -0.114
2.607 7.201 4.653
Pt Ga Al Pu
4 2 1 1
direct
0.864 0.864 0.409 Pt
0.136 0.136 0.591 Pt
0.598 0.598 0.207 Pt
0.402 0.402 0.793 Pt
0.753 0.753 0.740 Ga
0.247 0.247 0.260 Ga
0.500 0.500 0.500 Al
0.000 0.000 0.000 Pu
```

---

PuAl2Ga2Pt2 after structural relaxation, computed with PBE.

The density of states at the Fermi level comes out at 1.997 states/eV per atom. The final energy is -6.455 eV per atom. The space-group type is R-3m, No. 166. The formation energy is -0.75 eV/atom. Its magnetic moment is 5.63 μB/f.u.

```
PuAl2Ga2Pt2
1.0
4.284 0.000 0.000
2.142 3.710 0.000
2.142 1.237 8.233
Ga Pu Al Pt
2 1 2 2
direct
0.594 0.594 0.217 Ga
0.406 0.406 0.783 Ga
0.000 0.000 0.000 Pu
0.865 0.865 0.404 Al
0.135 0.135 0.596 Al
0.237 0.237 0.289 Pt
0.763 0.763 0.711 Pt
```

---

AlGaPtRh after structural relaxation, computed with PBE.

As for the energy above the most stable polymorph in this dataset: 0.000 eV/atom. The density of states at the Fermi level comes out at 0.394 states/eV per atom. The final energy is -5.834 eV per atom. The space-group type is P4mm, No. 99. The formation energy is -0.79 eV/atom. Its magnetic moment is 0.00 μB/f.u.

```
AlGaPtRh
1.0
-3.038 0.194 -0.810
-0.830 -1.003 2.869
-0.149 5.484 1.874
Rh Ga Pt Al
1 1 1 1
direct
0.000 0.000 0.358 Rh
0.500 0.500 0.114 Ga
0.000 0.000 0.853 Pt
0.500 0.500 0.603 Al
```

---

AlGaPtRh after structural relaxation, computed with PBE.

As for the energy above the most stable polymorph in this dataset: 0.019 eV/atom. The density of states at the Fermi level comes out at 0.825 states/eV per atom. The final energy is -5.815 eV per atom. The space-group type is F-43m, No. 216. The formation energy is -0.77 eV/atom. Its magnetic moment is 0.00 μB/f.u.

```
AlGaPtRh
1.0
4.331 0.000 0.000
2.166 3.751 0.000
2.166 1.250 3.536
Ga Al Rh Pt
1 1 1 1
direct
0.500 0.500 0.500 Ga
0.000 0.000 0.000 Al
0.250 0.250 0.250 Rh
0.750 0.750 0.750 Pt
```

---

ScAlGaPt after structural relaxation, computed with PBE.

The density of states at the Fermi level comes out at 0.673 states/eV per atom. The final energy is -5.559 eV per atom. The space-group type is F-43m, No. 216. The formation energy is -0.77 eV/atom. Its magnetic moment is 0.00 μB/f.u.

```
ScAlGaPt
1.0
-3.737 0.335 2.581
-1.723 -3.709 2.005
0.301 -0.495 4.517
Sc Pt Al Ga
1 1 1 1
direct
0.750 0.750 0.750 Sc
0.500 0.500 0.500 Pt
0.250 0.250 0.250 Al
0.000 0.000 0.000 Ga
```

---

Sc2AlGa2Pt5 after structural relaxation, computed with PBE.

The density of states at the Fermi level comes out at 0.436 states/eV per atom. The final energy is -6.164 eV per atom. The space-group type is P4/mbm, No. 127. The formation energy is -0.90 eV/atom. Its magnetic moment is 0.00 μB/f.u.

```
Sc2AlGa2Pt5
1.0
3.715 0.000 0.000
0.000 9.465 0.000
0.000 0.000 9.465
Sc Ga Al Pt
4 4 2 10
direct
0.000 0.328 0.828 Sc
0.000 0.172 0.328 Sc
0.000 0.828 0.672 Sc
0.000 0.672 0.172 Sc
0.000 0.628 0.872 Ga
0.000 0.128 0.628 Ga
0.000 0.872 0.372 Ga
0.000 0.372 0.128 Ga
0.000 0.000 0.000 Al
0.000 0.500 0.500 Al
0.500 0.000 0.500 Pt
0.500 0.435 0.300 Pt
0.500 0.300 0.565 Pt
0.500 0.935 0.200 Pt
0.500 0.565 0.700 Pt
0.500 0.065 0.800 Pt
0.500 0.800 0.935 Pt
0.500 0.700 0.435 Pt
0.500 0.200 0.065 Pt
0.500 0.500 0.000 Pt
```

---

Sc2Al2GaPt5 after structural relaxation, computed with PBE.

The density of states at the Fermi level comes out at 0.399 states/eV per atom. The final energy is -6.274 eV per atom. The space-group type is P4/mbm, No. 127. The formation energy is -0.94 eV/atom. Its magnetic moment is 0.00 μB/f.u.

```
Sc2Al2GaPt5
1.0
3.649 0.000 0.000
0.000 9.536 0.000
0.000 0.000 9.536
Al Sc Pt Ga
4 4 10 2
direct
0.000 0.875 0.375 Al
0.000 0.125 0.625 Al
0.000 0.625 0.875 Al
0.000 0.375 0.125 Al
0.000 0.326 0.826 Sc
0.000 0.174 0.326 Sc
0.000 0.674 0.174 Sc
0.000 0.826 0.674 Sc
0.500 0.797 0.931 Pt
0.500 0.297 0.569 Pt
0.500 0.000 0.500 Pt
0.500 0.703 0.431 Pt
0.500 0.203 0.069 Pt
0.500 0.569 0.703 Pt
0.500 0.500 0.000 Pt
0.500 0.069 0.797 Pt
0.500 0.431 0.297 Pt
0.500 0.931 0.203 Pt
0.000 0.500 0.500 Ga
0.000 0.000 0.000 Ga
```

---

AlGa2SiPt after structural relaxation, computed with PBE.

The density of states at the Fermi level comes out at 0.494 states/eV per atom. The final energy is -3.714 eV per atom. The space-group type is P4/mmm, No. 123. Its magnetic moment is 0.00 μB/f.u.

```
AlGa2SiPt
1.0
-2.859 2.725 -2.538
0.530 -2.904 -3.714
-3.687 -2.521 1.446
Pt Ga Si Al
1 2 1 1
direct
0.500 0.500 0.500 Pt
0.000 0.000 0.500 Ga
0.500 0.000 0.000 Ga
0.000 0.000 0.000 Si
0.000 0.500 0.000 Al
```

---

Sm2AlGaPt2 after structural relaxation, computed with PBE.

The density of states at the Fermi level comes out at 0.487 states/eV per atom. The final energy is -5.736 eV per atom. The space-group type is Ibam, No. 72. The formation energy is -1.02 eV/atom. Its magnetic moment is 0.00 μB/f.u.

```
Sm2AlGaPt2
1.0
6.072 0.000 0.000
0.000 6.089 0.000
-3.036 -3.044 6.853
Al Sm Pt Ga
2 4 4 2
direct
0.500 0.250 0.000 Al
0.500 0.750 0.000 Al
0.583 0.828 0.656 Sm
0.928 0.672 0.344 Sm
0.417 0.172 0.344 Sm
0.072 0.328 0.656 Sm
0.632 0.390 0.780 Pt
0.148 0.890 0.780 Pt
0.852 0.110 0.220 Pt
0.368 0.610 0.220 Pt
0.000 0.250 0.000 Ga
0.000 0.750 0.000 Ga
```

---

Sm2Al4GaPt3 after structural relaxation, computed with PBE.

The density of states at the Fermi level comes out at 0.515 states/eV per atom. The final energy is -5.551 eV per atom. The space-group type is P-4m2, No. 115. The formation energy is -0.99 eV/atom. Its magnetic moment is 0.00 μB/f.u.

```
Sm2Al4GaPt3
1.0
4.264 0.000 0.000
0.000 4.264 0.000
0.000 0.000 10.536
Pt Al Sm Ga
3 4 2 1
direct
0.500 0.000 0.870 Pt
0.000 0.000 0.500 Pt
0.000 0.500 0.130 Pt
0.500 0.500 0.000 Al
0.000 0.000 0.000 Al
0.000 0.500 0.363 Al
0.500 0.000 0.637 Al
0.000 0.500 0.751 Sm
0.500 0.000 0.249 Sm
0.500 0.500 0.500 Ga
```

---

SmAl2GaPt4 after structural relaxation, computed with PBE.

The density of states at the Fermi level comes out at 0.297 states/eV per atom. The final energy is -5.900 eV per atom. The space-group type is R-3m, No. 166. The formation energy is -0.98 eV/atom. Its magnetic moment is 0.00 μB/f.u.

```
SmAl2GaPt4
1.0
4.306 0.000 0.000
2.153 3.729 0.000
2.153 1.243 8.747
Al Sm Pt Ga
2 1 4 1
direct
0.757 0.757 0.729 Al
0.243 0.243 0.271 Al
0.000 0.000 0.000 Sm
0.866 0.866 0.403 Pt
0.403 0.403 0.790 Pt
0.597 0.597 0.210 Pt
0.134 0.134 0.597 Pt
0.500 0.500 0.500 Ga
```

---

SmAlGaPt2 after structural relaxation, computed with PBE.

The density of states at the Fermi level comes out at 0.497 states/eV per atom. The final energy is -5.739 eV per atom. The space-group type is I-4m2, No. 119. The formation energy is -1.02 eV/atom. Its magnetic moment is 0.00 μB/f.u.

```
SmAlGaPt2
1.0
4.080 0.000 0.000
0.000 4.080 0.000
-2.040 -2.040 5.792
Sm Ga Pt Al
1 1 2 1
direct
0.000 0.000 0.000 Sm
0.250 0.750 0.500 Ga
0.617 0.617 0.234 Pt
0.383 0.383 0.766 Pt
0.750 0.250 0.500 Al
```

---

Sr2Al4GaPt3 after structural relaxation, computed with PBE.

The density of states at the Fermi level comes out at 0.519 states/eV per atom. The final energy is -4.799 eV per atom. The space-group type is P-4m2, No. 115. The formation energy is -0.85 eV/atom. Its magnetic moment is 0.00 μB/f.u.

```
Sr2Al4GaPt3
1.0
4.360 0.000 0.000
0.000 4.360 0.000
0.000 0.000 10.709
Sr Pt Ga Al
2 3 1 4
direct
0.000 0.500 0.749 Sr
0.500 0.000 0.251 Sr
0.500 0.000 0.874 Pt
0.000 0.500 0.126 Pt
0.000 0.000 0.500 Pt
0.500 0.500 0.500 Ga
0.000 0.500 0.366 Al
0.500 0.500 0.000 Al
0.500 0.000 0.634 Al
0.000 0.000 0.000 Al
```

---

SrAlGaPt2 after structural relaxation, computed with PBE.

The density of states at the Fermi level comes out at 0.360 states/eV per atom. The final energy is -5.029 eV per atom. The space-group type is I-4m2, No. 119. The formation energy is -0.92 eV/atom. Its magnetic moment is 0.00 μB/f.u.

```
SrAlGaPt2
1.0
-0.811 -4.145 0.669
2.754 -0.011 3.272
-5.105 3.449 1.514
Sr Pt Al Ga
1 2 1 1
direct
0.000 0.000 0.000 Sr
0.375 0.375 0.750 Pt
0.625 0.625 0.250 Pt
0.750 0.250 0.500 Al
0.250 0.750 0.500 Ga
```

---

Sr2Al2GaPt5 after structural relaxation, computed with PBE.

The density of states at the Fermi level comes out at 0.313 states/eV per atom. The final energy is -5.220 eV per atom. The space-group type is P4/mbm, No. 127. The formation energy is -0.81 eV/atom. Its magnetic moment is 0.00 μB/f.u.

```
Sr2Al2GaPt5
1.0
2.958 0.000 0.000
0.000 11.170 0.000
0.000 0.000 11.170
Al Sr Ga Pt
4 4 2 10
direct
0.000 0.868 0.368 Al
0.000 0.368 0.132 Al
0.000 0.132 0.632 Al
0.000 0.632 0.868 Al
0.000 0.327 0.827 Sr
0.000 0.827 0.673 Sr
0.000 0.673 0.173 Sr
0.000 0.173 0.327 Sr
0.000 0.000 0.000 Ga
0.000 0.500 0.500 Ga
0.500 0.937 0.191 Pt
0.500 0.191 0.063 Pt
0.500 0.563 0.691 Pt
0.500 0.309 0.563 Pt
0.500 0.437 0.309 Pt
0.500 0.000 0.500 Pt
0.500 0.063 0.809 Pt
0.500 0.500 0.000 Pt
0.500 0.691 0.437 Pt
0.500 0.809 0.937 Pt
```

---

Sr2AlGaPt2 after structural relaxation, computed with PBE.

The density of states at the Fermi level comes out at 0.444 states/eV per atom. The final energy is -4.555 eV per atom. The space-group type is Ibam, No. 72. The formation energy is -0.85 eV/atom. Its magnetic moment is 0.00 μB/f.u.

```
Sr2AlGaPt2
1.0
-0.736 -0.499 -6.257
5.572 -2.944 -0.420
-5.679 -4.576 4.225
Ga Al Sr Pt
2 2 4 4
direct
0.000 0.250 0.000 Ga
0.000 0.750 0.000 Ga
0.500 0.750 0.000 Al
0.500 0.250 0.000 Al
0.926 0.672 0.345 Sr
0.419 0.172 0.345 Sr
0.581 0.828 0.655 Sr
0.074 0.328 0.655 Sr
0.651 0.409 0.818 Pt
0.167 0.909 0.818 Pt
0.349 0.591 0.182 Pt
0.833 0.091 0.182 Pt
```

---

SrAlGaPt3 after structural relaxation, computed with PBE.

The density of states at the Fermi level comes out at 0.225 states/eV per atom. The final energy is -5.182 eV per atom. The space-group type is Cmcm, No. 63. The formation energy is -0.75 eV/atom. Its magnetic moment is 0.00 μB/f.u.

```
SrAlGaPt3
1.0
5.853 0.000 0.000
0.000 5.869 0.000
0.000 -2.935 7.767
Al Sr Pt Ga
2 2 6 2
direct
0.750 0.912 0.823 Al
0.250 0.088 0.177 Al
0.250 0.716 0.431 Sr
0.750 0.284 0.569 Sr
0.500 0.748 0.000 Pt
0.000 0.748 0.000 Pt
0.500 0.252 0.000 Pt
0.000 0.252 0.000 Pt
0.750 0.754 0.509 Pt
0.250 0.246 0.491 Pt
0.750 0.595 0.190 Ga
0.250 0.405 0.810 Ga
```

---

Tb2Al4GaPt3 after structural relaxation, computed with PBE.

The density of states at the Fermi level comes out at 0.504 states/eV per atom. The final energy is -5.528 eV per atom. The space-group type is P-4m2, No. 115. The formation energy is -0.99 eV/atom. Its magnetic moment is 0.00 μB/f.u.

```
Tb2Al4GaPt3
1.0
4.208 0.000 0.000
0.000 4.208 0.000
0.000 0.000 10.612
Tb Pt Ga Al
2 3 1 4
direct
0.000 0.500 0.752 Tb
0.500 0.000 0.248 Tb
0.000 0.500 0.132 Pt
0.500 0.000 0.868 Pt
0.000 0.000 0.500 Pt
0.500 0.500 0.500 Ga
0.500 0.500 0.000 Al
0.000 0.000 0.000 Al
0.000 0.500 0.362 Al
0.500 0.000 0.638 Al
```

---

Tb2Al3GaPt4 after structural relaxation, computed with PBE.

The density of states at the Fermi level comes out at 0.554 states/eV per atom. The final energy is -5.856 eV per atom. The space-group type is P-4m2, No. 115. The formation energy is -1.09 eV/atom. Its magnetic moment is 0.00 μB/f.u.

```
Tb2Al3GaPt4
1.0
4.133 0.000 0.000
0.000 4.133 0.000
0.000 0.000 10.870
Pt Ga Tb Al
4 1 2 3
direct
0.000 0.500 0.359 Pt
0.500 0.500 0.000 Pt
0.000 0.000 0.000 Pt
0.500 0.000 0.641 Pt
0.500 0.500 0.500 Ga
0.000 0.500 0.745 Tb
0.500 0.000 0.255 Tb
0.000 0.500 0.132 Al
0.500 0.000 0.868 Al
0.000 0.000 0.500 Al
```

---

TbAlGa2Pt4 after structural relaxation, computed with PBE.

The density of states at the Fermi level comes out at 0.284 states/eV per atom. The final energy is -5.758 eV per atom. The space-group type is R-3m, No. 166. The formation energy is -0.93 eV/atom. Its magnetic moment is 0.00 μB/f.u.

```
TbAlGa2Pt4
1.0
4.323 0.000 0.000
2.161 3.744 0.000
2.161 1.248 8.520
Pt Ga Al Tb
4 2 1 1
direct
0.598 0.598 0.207 Pt
0.864 0.864 0.407 Pt
0.402 0.402 0.793 Pt
0.136 0.136 0.593 Pt
0.249 0.249 0.253 Ga
0.751 0.751 0.747 Ga
0.500 0.500 0.500 Al
0.000 0.000 0.000 Tb
```